1.
! FePCSe, optimized geometry, DFT GGA-PBE; values from VASP
&SYSTEM
  ibrav = 0, nat = 4, ntyp = 4
/
ATOMIC_SPECIES
Fe 55.84 Fe.upf
P 30.97 P.upf
C 12.01 C.upf
Se 78.96 Se.upf
ATOMIC_POSITIONS crystal
Fe 0.000 0.000 0.000
P 0.378 0.249 0.274
C 0.922 0.506 0.174
Se 0.586 0.558 0.807
CELL_PARAMETERS angstrom
2.867 0.000 0.000
0.000 3.161 0.000
1.281 0.236 6.995
! Raw formation energy (eV/atom): 0.330
! SG: P1, No. 1



2.
! Ba3AcTh2As6, optimized geometry, DFT GGA-PBE; values from VASP
&SYSTEM
  ibrav = 0, nat = 12, ntyp = 4
/
ATOMIC_SPECIES
Ba 137.33 Ba.upf
Ac 227.00 Ac.upf
Th 232.04 Th.upf
As 74.92 As.upf
ATOMIC_POSITIONS crystal
Ba 0.000 0.000 0.000
Ba 0.335 0.665 0.000
Ba 0.665 0.335 0.000
Ac 0.500 0.500 0.500
Th 0.167 0.833 0.500
Th 0.833 0.167 0.500
As 0.079 0.427 0.283
As 0.224 0.224 0.716
As 0.427 0.079 0.283
As 0.573 0.921 0.717
As 0.776 0.776 0.284
As 0.921 0.573 0.717
CELL_PARAMETERS angstrom
3.902 -6.762 0.000
3.902 6.762 0.000
-2.606 0.000 7.583
! SG: C2/m, No. 12
! Formation energy (eV per atom): -1.258



3.
! CeEuTh2, optimized geometry, DFT GGA-PBE; values from VASP
&SYSTEM
  ibrav = 0, nat = 4, ntyp = 3
/
ATOMIC_SPECIES
Ce 140.12 Ce.upf
Eu 151.96 Eu.upf
Th 232.04 Th.upf
ATOMIC_POSITIONS crystal
Ce 0.000 0.000 0.000
Eu 0.500 0.500 0.000
Th 0.000 0.500 0.500
Th 0.500 0.000 0.500
CELL_PARAMETERS angstrom
5.038 0.000 0.000
0.000 5.038 0.000
0.000 0.000 5.031
! SG: P4/mmm, No. 123
! Formation energy (eV per atom): 0.178



4.
! Y2Cu12Si7, optimized geometry, DFT GGA-PBE; values from VASP
&SYSTEM
  ibrav = 0, nat = 21, ntyp = 3
/
ATOMIC_SPECIES
Y 88.91 Y.upf
Cu 63.55 Cu.upf
Si 28.09 Si.upf
ATOMIC_POSITIONS crystal
Y 0.333 0.667 0.252
Y 0.667 0.333 0.748
Cu 0.048 0.432 0.752
Cu 0.122 0.265 0.240
Cu 0.143 0.878 0.240
Cu 0.265 0.143 0.760
Cu 0.383 0.952 0.752
Cu 0.432 0.383 0.248
Cu 0.568 0.617 0.752
Cu 0.617 0.048 0.248
Cu 0.735 0.857 0.240
Cu 0.857 0.122 0.760
Cu 0.878 0.735 0.760
Cu 0.952 0.568 0.248
Si 0.000 0.000 0.500
Si 0.117 0.709 0.747
Si 0.291 0.408 0.747
Si 0.408 0.117 0.253
Si 0.592 0.883 0.747
Si 0.709 0.592 0.253
Si 0.883 0.291 0.253
CELL_PARAMETERS angstrom
9.453 0.000 0.000
-4.727 8.187 0.000
0.000 0.000 3.899
! Raw formation energy (eV/atom): -0.248
! SG: P-3, No. 147



5.
! AgSb2Te4, optimized geometry, DFT GGA-PBE; values from VASP
&SYSTEM
  ibrav = 0, nat = 14, ntyp = 3
/
ATOMIC_SPECIES
Ag 107.87 Ag.upf
Sb 121.76 Sb.upf
Te 127.60 Te.upf
ATOMIC_POSITIONS crystal
Ag 0.000 0.000 0.000
Ag 0.500 0.500 0.000
Sb 0.103 0.344 0.500
Sb 0.397 0.844 0.500
Sb 0.603 0.156 0.500
Sb 0.897 0.656 0.500
Te 0.133 0.802 0.000
Te 0.246 0.548 0.500
Te 0.254 0.048 0.500
Te 0.367 0.302 0.000
Te 0.633 0.698 0.000
Te 0.746 0.952 0.500
Te 0.754 0.452 0.500
Te 0.867 0.198 0.000
CELL_PARAMETERS angstrom
7.886 0.000 0.000
0.000 13.085 0.000
0.000 0.000 4.347
! Raw formation energy (eV/atom): 0.029
! SG: Pbam, No. 55



6.
! PmAlC, optimized geometry, DFT GGA-PBE; values from VASP
&SYSTEM
  ibrav = 0, nat = 6, ntyp = 3
/
ATOMIC_SPECIES
Pm 145.00 Pm.upf
Al 26.98 Al.upf
C 12.01 C.upf
ATOMIC_POSITIONS crystal
Pm 0.193 0.807 0.750
Pm 0.807 0.193 0.250
Al 0.500 0.500 0.000
Al 0.500 0.500 0.500
C 0.325 0.675 0.250
C 0.675 0.325 0.750
CELL_PARAMETERS angstrom
2.619 -4.689 0.000
2.619 4.689 0.000
0.000 0.000 4.797
! SG: Cmcm, No. 63
! Formation energy (eV per atom): 0.042



7.
! KCdBi2Te4, optimized geometry, DFT GGA-PBE; values from VASP
&SYSTEM
  ibrav = 0, nat = 16, ntyp = 4
/
ATOMIC_SPECIES
K 39.10 K.upf
Cd 112.41 Cd.upf
Bi 208.98 Bi.upf
Te 127.60 Te.upf
ATOMIC_POSITIONS crystal
K 0.126 0.874 0.750
K 0.874 0.126 0.250
Cd 0.162 0.838 0.250
Cd 0.838 0.162 0.750
Bi 0.371 0.629 0.562
Bi 0.371 0.629 0.938
Bi 0.629 0.371 0.062
Bi 0.629 0.371 0.438
Te 0.000 0.000 0.000
Te 0.000 0.000 0.500
Te 0.266 0.734 0.106
Te 0.266 0.734 0.394
Te 0.448 0.552 0.750
Te 0.552 0.448 0.250
Te 0.734 0.266 0.606
Te 0.734 0.266 0.894
CELL_PARAMETERS angstrom
2.316 -7.534 0.000
2.316 7.534 0.000
0.000 0.000 16.815
! Raw formation energy (eV/atom): -0.367
! SG: Cmcm, No. 63



8.
! TiAg2SnS, optimized geometry, DFT GGA-PBE; values from VASP
&SYSTEM
  ibrav = 0, nat = 5, ntyp = 4
/
ATOMIC_SPECIES
Ti 47.87 Ti.upf
Ag 107.87 Ag.upf
Sn 118.71 Sn.upf
S 32.06 S.upf
ATOMIC_POSITIONS crystal
Ti 0.000 0.000 0.000
Ag 0.000 0.500 0.500
Ag 0.500 0.000 0.500
Sn 0.500 0.500 0.500
S 0.500 0.500 0.000
CELL_PARAMETERS angstrom
5.077 0.000 0.000
0.000 5.077 0.000
0.000 0.000 5.149
! Raw formation energy (eV/atom): 0.943
! SG: P4/mmm, No. 123



9.
! Nd4Ni, optimized geometry, DFT GGA-PBE; values from VASP
&SYSTEM
  ibrav = 0, nat = 10, ntyp = 2
/
ATOMIC_SPECIES
Nd 144.24 Nd.upf
Ni 58.69 Ni.upf
ATOMIC_POSITIONS crystal
Nd 0.216 0.761 0.761
Nd 0.239 0.239 0.239
Nd 0.239 0.239 0.784
Nd 0.239 0.784 0.239
Nd 0.761 0.216 0.761
Nd 0.761 0.761 0.216
Nd 0.761 0.761 0.761
Nd 0.784 0.239 0.239
Ni 0.375 0.375 0.375
Ni 0.625 0.625 0.625
CELL_PARAMETERS angstrom
0.000 5.488 5.488
5.488 0.000 5.488
5.488 5.488 0.000
! SG: Fd-3m, No. 227
! Formation energy (eV per atom): 0.221



10.
! OsI, optimized geometry, DFT GGA-PBE; values from VASP
&SYSTEM
  ibrav = 0, nat = 8, ntyp = 2
/
ATOMIC_SPECIES
Os 190.23 Os.upf
I 126.90 I.upf
ATOMIC_POSITIONS crystal
Os 0.000 0.000 0.223
Os 0.000 0.223 0.000
Os 0.223 0.000 0.000
Os 0.777 0.777 0.777
I 0.000 0.000 0.593
I 0.000 0.593 0.000
I 0.407 0.407 0.407
I 0.593 0.000 0.000
CELL_PARAMETERS angstrom
-4.115 4.115 4.115
4.115 -4.115 4.115
4.115 4.115 -4.115
! Raw formation energy (eV/atom): 1.330
! SG: I-43m, No. 217



11.
! MnTl2Br4Cl2, optimized geometry, DFT GGA-PBE; values from VASP
&SYSTEM
  ibrav = 0, nat = 9, ntyp = 4
/
ATOMIC_SPECIES
Mn 54.94 Mn.upf
Tl 204.38 Tl.upf
Br 79.90 Br.upf
Cl 35.45 Cl.upf
ATOMIC_POSITIONS crystal
Mn 0.000 0.000 0.000
Tl 0.250 0.750 0.500
Tl 0.750 0.250 0.500
Br 0.238 0.238 0.477
Br 0.238 0.762 0.000
Br 0.762 0.238 0.000
Br 0.762 0.762 0.523
Cl 0.226 0.226 0.000
Cl 0.774 0.774 0.000
CELL_PARAMETERS angstrom
-3.662 3.662 5.020
3.662 -3.662 5.020
3.662 3.662 -5.020
! Raw formation energy (eV/atom): -0.799
! SG: I4/mmm, No. 139



12.
! SnGe2Pd6, optimized geometry, DFT GGA-PBE; values from VASP
&SYSTEM
  ibrav = 0, nat = 9, ntyp = 3
/
ATOMIC_SPECIES
Sn 118.71 Sn.upf
Ge 72.64 Ge.upf
Pd 106.42 Pd.upf
ATOMIC_POSITIONS crystal
Sn 0.000 0.000 0.000
Ge 0.331 0.331 0.694
Ge 0.669 0.669 0.306
Pd 0.121 0.121 0.559
Pd 0.234 0.234 0.161
Pd 0.460 0.460 0.223
Pd 0.540 0.540 0.777
Pd 0.766 0.766 0.839
Pd 0.879 0.879 0.441
CELL_PARAMETERS angstrom
6.456 -2.287 0.000
6.456 2.287 0.000
-1.782 0.000 4.899
! SG: C2/m, No. 12
! Formation energy (eV per atom): -0.367



13.
! Ce3Er2ScSe6, optimized geometry, DFT GGA-PBE; values from VASP
&SYSTEM
  ibrav = 0, nat = 12, ntyp = 4
/
ATOMIC_SPECIES
Ce 140.12 Ce.upf
Er 167.26 Er.upf
Sc 44.96 Sc.upf
Se 78.96 Se.upf
ATOMIC_POSITIONS crystal
Ce 0.000 0.000 0.000
Ce 0.330 0.670 0.000
Ce 0.670 0.330 0.000
Er 0.166 0.834 0.500
Er 0.834 0.166 0.500
Sc 0.500 0.500 0.500
Se 0.097 0.424 0.270
Se 0.251 0.251 0.733
Se 0.424 0.097 0.270
Se 0.576 0.903 0.730
Se 0.749 0.749 0.267
Se 0.903 0.576 0.730
CELL_PARAMETERS angstrom
3.507 -6.081 0.000
3.507 6.081 0.000
-2.345 0.000 6.830
! Raw formation energy (eV/atom): -1.748
! SG: C2/m, No. 12



14.
! Hf4P5H, optimized geometry, DFT GGA-PBE; values from VASP
&SYSTEM
  ibrav = 0, nat = 10, ntyp = 3
/
ATOMIC_SPECIES
Hf 178.49 Hf.upf
P 30.97 P.upf
H 1.01 H.upf
ATOMIC_POSITIONS crystal
Hf 0.003 0.003 0.314
Hf 0.350 0.350 0.930
Hf 0.650 0.650 0.070
Hf 0.997 0.997 0.686
P 0.159 0.159 0.869
P 0.168 0.168 0.267
P 0.500 0.500 0.500
P 0.832 0.832 0.733
P 0.841 0.841 0.131
H 0.500 0.500 0.000
CELL_PARAMETERS angstrom
7.008 -1.824 0.000
7.008 1.824 0.000
-2.307 0.000 9.022
! Calculated total energy (eV per atom): -7.544
! SG: C2/m, No. 12



15.
! K2ReOsCl, optimized geometry, DFT GGA-PBE; values from VASP
&SYSTEM
  ibrav = 0, nat = 5, ntyp = 4
/
ATOMIC_SPECIES
K 39.10 K.upf
Re 186.21 Re.upf
Os 190.23 Os.upf
Cl 35.45 Cl.upf
ATOMIC_POSITIONS crystal
K 0.000 0.500 0.000
K 0.500 0.000 0.000
Re 0.000 0.000 0.000
Os 0.500 0.500 0.500
Cl 0.000 0.000 0.500
CELL_PARAMETERS angstrom
6.540 0.000 0.000
0.000 6.540 0.000
0.000 0.000 4.366
! Raw formation energy (eV/atom): 1.841
! SG: P4/mmm, No. 123



16.
! TmTh2Si, optimized geometry, DFT GGA-PBE; values from VASP
&SYSTEM
  ibrav = 0, nat = 4, ntyp = 3
/
ATOMIC_SPECIES
Tm 168.93 Tm.upf
Th 232.04 Th.upf
Si 28.09 Si.upf
ATOMIC_POSITIONS crystal
Tm 0.000 0.000 0.000
Th 0.109 0.109 0.109
Th 0.891 0.891 0.891
Si 0.500 0.500 0.500
CELL_PARAMETERS angstrom
1.897 1.095 10.456
-1.897 1.095 10.456
0.000 -2.191 10.456
! Raw formation energy (eV/atom): 0.132
! SG: R-3m, No. 166



17.
! KZrCo2, optimized geometry, DFT GGA-PBE; values from VASP
&SYSTEM
  ibrav = 0, nat = 4, ntyp = 3
/
ATOMIC_SPECIES
K 39.10 K.upf
Zr 91.22 Zr.upf
Co 58.93 Co.upf
ATOMIC_POSITIONS crystal
K 0.000 0.000 0.000
Zr 0.500 0.500 0.500
Co 0.232 0.232 0.606
Co 0.768 0.768 0.394
CELL_PARAMETERS angstrom
4.502 -1.589 0.000
4.502 1.589 0.000
-1.931 0.000 7.043
! SG: C2/m, No. 12
! Formation energy (eV per atom): 0.577



18.
! Pm3In3Pd2, optimized geometry, DFT GGA-PBE; values from VASP
&SYSTEM
  ibrav = 0, nat = 8, ntyp = 3
/
ATOMIC_SPECIES
Pm 145.00 Pm.upf
In 114.82 In.upf
Pd 106.42 Pd.upf
ATOMIC_POSITIONS crystal
Pm 0.000 0.000 0.000
Pm 0.157 0.157 0.601
Pm 0.843 0.843 0.399
In 0.363 0.363 0.905
In 0.500 0.500 0.500
In 0.637 0.637 0.095
Pd 0.229 0.229 0.149
Pd 0.771 0.771 0.851
CELL_PARAMETERS angstrom
8.622 -2.302 0.000
8.622 2.302 0.000
-1.107 0.000 5.085
! SG: C2/m, No. 12
! Formation energy (eV per atom): -0.633



19.
! ScTcTe2, optimized geometry, DFT GGA-PBE; values from VASP
&SYSTEM
  ibrav = 0, nat = 4, ntyp = 3
/
ATOMIC_SPECIES
Sc 44.96 Sc.upf
Tc 98.00 Tc.upf
Te 127.60 Te.upf
ATOMIC_POSITIONS crystal
Sc 0.000 0.000 0.000
Tc 0.245 0.745 0.500
Te 0.587 0.587 0.000
Te 0.821 0.321 0.500
CELL_PARAMETERS angstrom
-1.849 1.911 6.183
1.849 -1.911 6.183
1.849 1.911 -6.183
! Raw formation energy (eV/atom): -0.349
! SG: Imm2, No. 44



20.
! Pm12YIr7, optimized geometry, DFT GGA-PBE; values from VASP
&SYSTEM
  ibrav = 0, nat = 20, ntyp = 3
/
ATOMIC_SPECIES
Pm 145.00 Pm.upf
Y 88.91 Y.upf
Ir 192.22 Ir.upf
ATOMIC_POSITIONS crystal
Pm 0.102 0.664 0.246
Pm 0.130 0.336 0.414
Pm 0.246 0.102 0.664
Pm 0.336 0.414 0.130
Pm 0.336 0.754 0.898
Pm 0.414 0.130 0.336
Pm 0.586 0.870 0.664
Pm 0.664 0.246 0.102
Pm 0.664 0.586 0.870
Pm 0.754 0.898 0.336
Pm 0.870 0.664 0.586
Pm 0.898 0.336 0.754
Y 0.000 0.000 0.000
Ir 0.038 0.708 0.945
Ir 0.055 0.962 0.292
Ir 0.292 0.055 0.962
Ir 0.500 0.500 0.500
Ir 0.708 0.945 0.038
Ir 0.945 0.038 0.708
Ir 0.962 0.292 0.055
CELL_PARAMETERS angstrom
7.630 4.405 2.966
-7.630 4.405 2.966
0.000 -8.810 2.966
! SG: R-3, No. 148
! Formation energy (eV per atom): -0.487